# 1
Here is Er4TmAu2 after structural relaxation from the Alexandria database. Energies are from PBE-GGA.

Results
The total magnetic moment comes out at 0.0000 μB/atom. For the density, the calculation gives 9.931 g cm⁻³. The calculation puts the energy of formation from the pure elements at -0.277 eV/atom.

a = 4.9171 Å, b = 4.9171 Å, c = 10.2393 Å
α = 76.11°, β = 76.11°, γ = 60.00°
With the nearest neighbours (Å) after each atom.
Element x y z (fractional)
Er: 0.2982 0.2982 0.1053  4 Au 2.98
Er: 0.7018 0.7018 0.8947  4 Au 2.98
Er: 0.1021 0.1021 0.6937  3 Au 3.03
Er: 0.8979 0.8979 0.3063  3 Au 3.03
Au: 0.3992 0.3992 0.8025  1 Tm 2.98, 7 Er 2.98-3.03
Au: 0.6008 0.6008 0.1975  1 Tm 2.98, 7 Er 2.98-3.03
Tm: 0.5000 0.5000 0.5000  2 Au 2.98

***

# 2
Here is K2TlCd2Pt after structural relaxation from the Alexandria database. Energies are from PBE-GGA.

Results
The total magnetic moment comes out at 0.0000 μB/atom. For the density, the calculation gives 5.925 g cm⁻³. The calculation puts the energy of formation from the pure elements at -0.128 eV/atom.

a = 6.2035 Å, b = 9.8848 Å, c = 8.6762 Å
α = 124.73°, β = 110.95°, γ = 90.00°
With the nearest neighbours (Å) after each atom.
Element x y z (fractional)
Pt: 0.7500 0.5000 0.0000  4 Cd 2.76
Pt: 0.2500 0.5000 0.0000  4 Cd 2.76
K: 0.7135 0.8229 0.4271  2 Pt 3.33, 2 Cd 3.46-3.56
K: 0.7865 0.3958 0.5729  2 Pt 3.33, 2 Cd 3.46-3.56
K: 0.2135 0.6042 0.4271  2 Pt 3.33, 2 Cd 3.46-3.56
K: 0.2865 0.1771 0.5729  2 Pt 3.33, 2 Cd 3.46-3.56
Cd: 0.9594 0.2350 0.9187  2 Pt 2.76
Cd: 0.0406 0.7650 0.0813  2 Pt 2.76
Cd: 0.4594 0.6837 0.9187  2 Pt 2.76
Cd: 0.5406 0.3163 0.0813  2 Pt 2.76
Tl: 0.2500 0.0000 0.0000  2 Tl 3.10, 4 Cd 3.18
Tl: 0.7500 0.0000 0.0000  2 Tl 3.10, 4 Cd 3.18

***

# 3
Here is K3PmBi2O6 after structural relaxation from the Alexandria database. Energies are from PBE-GGA.

Results
As for the formation energy from raw total energies: -21.3 eV/f.u. The total magnetic moment comes out at 0.0000 μB/atom. For the density, the calculation gives 6.014 g cm⁻³.

a = 6.2617 Å, b = 6.2617 Å, c = 6.6469 Å
α = 99.02°, β = 99.02°, γ = 120.00°
With the nearest neighbours (Å) after each atom.
Element x y z (fractional)
K: 0.5000 0.5000 0.5000  6 O 2.81-2.85
K: 0.1693 0.8307 0.5000  6 O 2.81-2.84
K: 0.8307 0.1693 0.5000  6 O 2.81-2.84
Bi: 0.6664 0.3336 0.0000  6 O 2.45
Bi: 0.3336 0.6664 0.0000  6 O 2.45
O: 0.6069 0.9339 0.8019  1 Pm 2.40, 2 Bi 2.45
O: 0.2615 0.2615 0.8019  1 Pm 2.40, 2 Bi 2.45
O: 0.0661 0.3931 0.1981  1 Pm 2.40, 2 Bi 2.45
O: 0.3931 0.0661 0.1981  1 Pm 2.40, 2 Bi 2.45
O: 0.7385 0.7385 0.1981  1 Pm 2.40, 2 Bi 2.45
O: 0.9339 0.6069 0.8019  1 Pm 2.40, 2 Bi 2.45
Pm: 0.0000 0.0000 0.0000  6 O 2.40

***

# 4
Here is Nd2DyYSe5 after structural relaxation from the Alexandria database. Energies are from PBE-GGA.

Results
As for the formation energy from raw total energies: -11.4 eV/f.u. The total magnetic moment comes out at 0.0000 μB/atom. For the density, the calculation gives 5.449 g cm⁻³.

a = 5.1499 Å, b = 5.1499 Å, c = 10.7407 Å
α = 90.00°, β = 90.00°, γ = 90.00°
With the nearest neighbours (Å) after each atom.
Element x y z (fractional)
Se: 0.0000 0.0000 0.7547  1 Y 2.64, 1 Dy 2.74
Se: 0.5000 0.5000 0.0000  2 Nd 3.46, 4 Y 3.64
Se: 0.5000 0.0000 0.5000  2 Dy 2.57
Se: 0.0000 0.5000 0.5000  2 Dy 2.57
Se: 0.0000 0.0000 0.2453  1 Y 2.64, 1 Dy 2.74
Nd: 0.5000 0.5000 0.6779  5 Se 3.21-3.46
Nd: 0.5000 0.5000 0.3221  5 Se 3.21-3.46
Y: 0.0000 0.0000 0.0000  2 Se 2.64
Dy: 0.0000 0.0000 0.5000  6 Se 2.57-2.74

***

# 5
Here is SbS6F2 after structural relaxation from the Alexandria database. Energies are from PBE-GGA.

Results
As for the formation energy from raw total energies: -4.3 eV/f.u. The total magnetic moment comes out at 0.0000 μB/atom. For the density, the calculation gives 2.811 g cm⁻³.

a = 3.7898 Å, b = 9.0606 Å, c = 6.5461 Å
α = 109.92°, β = 100.09°, γ = 85.43°
With the nearest neighbours (Å) after each atom.
Element x y z (fractional)
S: 0.2129 0.4230 0.7292  2 S 2.04-2.18
S: 0.0324 0.3420 0.1962  2 S 2.08-2.18
S: 0.7871 0.5770 0.2708  2 S 2.04-2.18
S: 0.9676 0.6580 0.8038  2 S 2.08-2.18
S: 0.9165 0.2783 0.4540  2 S 2.04-2.08
S: 0.0835 0.7217 0.5460  2 S 2.04-2.08
F: 0.4423 0.0492 0.8340  2 Sb 2.29-2.30
F: 0.5577 0.9508 0.1660  2 Sb 2.29-2.30
Sb: 0.0000 0.0000 0.0000  4 F 2.29-2.30

***

# 6
Here is KZrCdF2 after structural relaxation from the Alexandria database. Energies are from PBE-GGA.

Results
As for the formation energy from raw total energies: -6.4 eV/f.u. The total magnetic moment comes out at 0.2042 μB/atom. For the density, the calculation gives 3.200 g cm⁻³.

a = 4.3770 Å, b = 7.6042 Å, c = 4.3770 Å
α = 90.00°, β = 90.00°, γ = 90.00°
With the nearest neighbours (Å) after each atom.
Element x y z (fractional)
K: 0.0000 0.5000 0.0000  4 Cd 3.10
Zr: 0.0000 0.0000 0.0000  4 F 2.19
Cd: 0.5000 0.5000 0.5000  4 K 3.10
F: 0.0000 0.0000 0.5000  2 Zr 2.19
F: 0.5000 0.0000 0.0000  2 Zr 2.19

***

# 7
Here is HgPb3Br8 after structural relaxation from the Alexandria database. Energies are from PBE-GGA.

Results
As for the formation energy from raw total energies: -9.3 eV/f.u. The total magnetic moment comes out at 0.0000 μB/atom. For the density, the calculation gives 5.318 g cm⁻³.

a = 8.9268 Å, b = 8.9268 Å, c = 13.2244 Å
α = 90.00°, β = 90.00°, γ = 120.00°
With the nearest neighbours (Å) after each atom.
Element x y z (fractional)
Br: 0.3516 0.1758 0.0929  1 Hg 2.84, 2 Pb 3.09
Br: 0.0000 0.0000 0.8339  3 Pb 3.08
Br: 0.8242 0.1758 0.0929  1 Hg 2.84, 2 Pb 3.09
Br: 0.0000 0.0000 0.3339  3 Pb 3.08
Br: 0.3333 0.6667 0.0818  3 Pb 3.06
Br: 0.4833 0.9666 0.3493  1 Hg 2.91, 2 Pb 3.05
Br: 0.5167 0.0334 0.8493  1 Hg 2.91, 2 Pb 3.05
Br: 0.1758 0.3516 0.5929  1 Hg 2.84, 2 Pb 3.09
Br: 0.6667 0.3333 0.5818  3 Pb 3.06
Br: 0.6484 0.8242 0.5929  1 Hg 2.84, 2 Pb 3.09
Br: 0.0334 0.5167 0.3493  1 Hg 2.91, 2 Pb 3.05
Br: 0.8242 0.6484 0.0929  1 Hg 2.84, 2 Pb 3.09
Br: 0.1758 0.8242 0.5929  1 Hg 2.84, 2 Pb 3.09
Br: 0.9666 0.4833 0.8493  1 Hg 2.91, 2 Pb 3.05
Br: 0.4833 0.5167 0.3493  1 Hg 2.91, 2 Pb 3.05
Br: 0.5167 0.4833 0.8493  1 Hg 2.91, 2 Pb 3.05
Pb: 0.1691 0.8309 0.2110  6 Br 3.05-3.09
Pb: 0.8309 0.1691 0.7110  6 Br 3.05-3.09
Pb: 0.8309 0.6618 0.7110  6 Br 3.05-3.09
Pb: 0.6618 0.8309 0.2110  6 Br 3.05-3.09
Pb: 0.1691 0.3382 0.2110  6 Br 3.05-3.09
Pb: 0.3382 0.1691 0.7110  6 Br 3.05-3.09
Hg: 0.6667 0.3333 0.9819  6 Br 2.84-2.91
Hg: 0.3333 0.6667 0.4819  6 Br 2.84-2.91

***

# 8
Here is Tm3CoPb after structural relaxation from the Alexandria database. Energies are from PBE-GGA.

Results
The total magnetic moment comes out at 0.0000 μB/atom. For the relative energy among the computed polymorphs, the calculation gives 0.108 eV per atom. For the density, the calculation gives 9.761 g cm⁻³. The calculation puts the energy of formation from the pure elements at -0.254 eV/atom.

a = 5.0851 Å, b = 5.0851 Å, c = 5.0851 Å
α = 90.00°, β = 90.00°, γ = 90.00°
With the nearest neighbours (Å) after each atom.
Element x y z (fractional)
Tm: 0.0000 0.5000 0.0000  2 Co 2.54
Tm: 0.0000 0.0000 0.5000  2 Co 2.54
Tm: 0.5000 0.0000 0.0000  2 Co 2.54
Co: 0.0000 0.0000 0.0000  6 Tm 2.54
Pb: 0.5000 0.5000 0.5000  12 Tm 3.60

***

| no. | total DFT energy (no corrections) (eV per atom) |
| --- | --- |
| 1 | -4.460 |
| 2 | -2.200 |
| 3 | -5.569 |
| 4 | -5.489 |
| 5 | -4.098 |
| 6 | -4.138 |
| 7 | -2.841 |
| 8 | -5.100 |